[1]
Material: GdPuPt
Method: DFT, PBE
State: relaxed

The structure in POSCAR format:
```
GdPuPt
1.0
4.713 0.000 0.000
-2.356 4.081 0.000
0.000 0.000 3.806
Gd Pu Pt
1 1 1
Cartesian
0.000 0.000 0.000
2.356 1.360 2.215
0.000 2.721 1.187
```

Calculated values
Polymorph energy (0 for the lowest one) (meV per atom): 118
Calculated volume (A^3/atom): 24.4
Mass density (g/cm³): 13.53
Space-group type: No. 156

=====

[2]
Material: Mn2RuW2
Method: DFT, PBE
State: relaxed

The structure in POSCAR format:
```
Mn2RuW2
1.0
6.770 0.000 0.000
0.000 6.770 0.000
0.000 0.000 3.017
Mn Ru W
4 2 4
Cartesian
0.793 2.592 0.000
2.592 5.976 0.000
4.178 0.793 0.000
5.976 4.178 0.000
0.000 0.000 0.000
3.385 3.385 0.000
1.258 4.643 1.508
2.127 1.258 1.508
4.643 5.511 1.508
5.511 2.127 1.508
```

Calculated values
Calculated volume (A^3/atom): 13.8
Mass density (g/cm³): 13.90
Space-group type: No. 127

=====

These records have ΔE_f values of -471, 269 meV per atom, in the order they appear.